Crystalline La2CeTm at its relaxed geometry. Source: Alexandria, functional PBE.

## Properties
- E_form (eV per formula unit) = 0.77
- magnetization (μB per formula unit) = 3.00
- energy above the lowest structure with this stoichiometry (meV per atom) = 134
- total DFT energy (no corrections) (eV per atom) = -4.872

a b c (Å): 8.190 8.190 8.190
angles (deg): 90.00 90.00 90.00
Space group Fm-3m (No. 225)
Asymmetric unit:
La 0.250 0.250 0.250
Ce 0.000 0.000 0.000
Tm 0.000 0.000 0.500

=====

Crystalline LiCa2Te at its relaxed geometry. Source: Alexandria, functional PBE.

## Properties
- magnetization (μB per formula unit) = 0.00
- total DFT energy (no corrections) (eV per atom) = -2.801

a b c (Å): 4.903 4.903 9.534
angles (deg): 90.00 90.00 90.00
Space group I4/mmm (No. 139)
Asymmetric unit:
Li 0.000 0.000 0.000
Ca 0.000 0.500 0.250
Te 0.000 0.000 0.500

=====

Crystalline BeZnBr2 at its relaxed geometry. Source: Alexandria, functional PBE.

## Properties
- magnetization (μB per formula unit) = 0.00
- energy above the lowest structure with this stoichiometry (meV per atom) = 197
- total DFT energy (no corrections) (eV per atom) = -2.247

a b c (Å): 3.341 7.805 9.033
angles (deg): 90.00 90.00 90.00
Space group Cmm2 (No. 35)
Asymmetric unit:
Be 0.000 0.000 0.000
Zn 0.000 0.500 0.778
Br 0.000 0.000 0.574
Br 0.000 0.500 0.162

=====

Crystalline SrPtSN2 at its relaxed geometry. Source: Alexandria, functional PBE.

## Properties
- magnetization (μB per formula unit) = 1.81
- energy above the lowest structure with this stoichiometry (meV per atom) = 0
- total DFT energy (no corrections) (eV per atom) = -5.388

a b c (Å): 4.033 4.033 5.163
angles (deg): 90.00 90.00 90.00
Space group P4/mmm (No. 123)
Asymmetric unit:
Sr 0.000 0.000 0.000
Pt 0.500 0.500 0.500
S 0.500 0.500 0.000
N 0.000 0.500 0.500

=====

Crystalline SrMnNi2 at its relaxed geometry. Source: Alexandria, functional PBE.

## Properties
- E_form (eV per formula unit) = 1.64
- magnetization (μB per formula unit) = 4.46
- total DFT energy (no corrections) (eV per atom) = -5.193

a b c (Å): 4.597 4.597 3.250
angles (deg): 90.00 90.00 90.00
Space group P4/mmm (No. 123)
Asymmetric unit:
Sr 0.000 0.000 0.000
Mn 0.500 0.500 0.000
Ni 0.000 0.500 0.500

=====

Crystalline LuZrAgIr at its relaxed geometry. Source: Alexandria, functional PBE.

## Properties
- E_form (eV per formula unit) = -2.12
- magnetization (μB per formula unit) = 0.00
- total DFT energy (no corrections) (eV per atom) = -6.726

a b c (Å): 6.811 6.811 6.811
angles (deg): 90.00 90.00 90.00
Space group F-43m (No. 216)
Asymmetric unit:
Lu 0.000 0.000 0.000
Zr 0.000 0.000 0.500
Ag 0.250 0.250 0.250
Ir 0.250 0.250 0.750

=====

Crystalline Ba6SrRh2 at its relaxed geometry. Source: Alexandria, functional PBE.

## Properties
- E_form (eV per formula unit) = -0.69
- magnetization (μB per formula unit) = 0.00
- total DFT energy (no corrections) (eV per atom) = -3.179

a b c (Å): 8.3444 8.3444 22.4616
angles (deg): 90.00 90.00 120.00
Space group R3 (No. 146, hexagonal axes)
Asymmetric unit:
Ba 0.0026 0.6210 0.0000
Ba 0.0128 0.4249 0.8082
Sr 0.0000 0.0000 0.9042
Rh 0.0000 0.0000 0.0416
Rh 0.0000 0.0000 0.4051

=====

Crystalline CaAgH8Pt2 at its relaxed geometry. Source: Alexandria, functional PBE.

## Properties
- magnetization (μB per formula unit) = 0.00
- total DFT energy (no corrections) (eV per atom) = -3.687

a b c (Å): 4.8766 4.8766 17.0984
angles (deg): 90.00 90.00 120.00
Space group R-3 (No. 148, hexagonal axes)
Asymmetric unit:
Ca 0.0000 0.0000 0.0000
Ag 0.0000 0.0000 0.5000
H 0.0000 0.0000 0.3202
H 0.0027 0.3153 0.1045
Pt 0.0000 0.0000 0.2267